Entry 1:
A plane-wave DFT calculation with PBE was carried out for crystalline Ta2TcHW at its relaxed geometry.

## Properties
Magnetization = 0.00 μB/cell
E_tot = -10.135 eV/atom

Unit cell a=4.5293 b=4.5293 c=3.3969 alpha=90.00 beta=90.00 gamma=90.00
With the nearest neighbours (Å) after each atom.
Positions (direct):
Ta: 0.0000 0.5000 0.0000  2 H 2.26
Ta: 0.5000 0.0000 0.0000  2 H 2.26
Tc: 0.0000 0.0000 0.5000  8 Ta 2.83
H: 0.5000 0.5000 0.0000  2 W 1.70
W: 0.5000 0.5000 0.5000  2 H 1.70

Entry 2:
A plane-wave DFT calculation with PBE was carried out for crystalline YTiTeI2 at its relaxed geometry.

## Properties
Magnetization = 3.00 μB/cell
Energy relative to the elements, uncorrected = -0.125 eV per atom
E_tot = -4.245 eV/atom

Unit cell a=5.9346 b=5.9346 c=5.9507 alpha=90.00 beta=90.00 gamma=90.00
With the nearest neighbours (Å) after each atom.
Positions (direct):
Y: 0.0000 0.0000 0.0000  4 I 2.97, 2 Te 2.98
Ti: 0.5000 0.5000 0.5000  4 Te 4.20, 8 I 4.20
Te: 0.0000 0.0000 0.5000  2 Y 2.98
I: 0.0000 0.5000 0.0000  2 Y 2.97
I: 0.5000 0.0000 0.0000  2 Y 2.97